1.
Material: Tb2ZnHg
Method: DFT, PBE-GGA
State: relaxed

Calculated values
- Magnetic moment: 0.02 μB/cell
- V: 24.38 Å³/atom
- Formation energy from the elements: -0.4168 eV per atom

Cell lengths 3.6292, 3.6292, 7.4041 Å; angles 90.00, 90.00, 90.00 degrees
Last column: nearest neighbours and their distance in Å.
Fractional coordinates of all 4 atoms:
Hg: 0.5000 0.5000 0.5000  8 Tb 3.24
Tb: 0.0000 0.0000 0.2334  4 Zn 3.09, 4 Hg 3.24, 1 Tb 3.46
Tb: 0.0000 0.0000 0.7666  4 Zn 3.09, 4 Hg 3.24, 1 Tb 3.46
Zn: 0.5000 0.5000 0.0000  8 Tb 3.09


2.
Material: Nd3MgAgHg3Pd
Method: DFT, PBE-GGA
State: relaxed

Calculated values
- Magnetic moment: 0.02 μB/cell
- V: 24.72 Å³/atom
- Uncorrected energy: -28.83 eV/cell

Cell lengths 8.1296, 8.1296, 3.8870 Å; angles 90.00, 90.00, 120.00 degrees
Last column: nearest neighbours and their distance in Å.
Fractional coordinates of all 9 atoms:
Ag: 0.0000 0.0000 0.0000  6 Hg 2.98, 3 Nd 3.21
Hg: 0.2696 0.2864 0.5000  1 Mg 2.87, 2 Ag 2.98, 1 Pd 3.05
Hg: 0.0168 0.7304 0.5000  1 Mg 2.87, 2 Ag 2.98, 1 Pd 3.05
Hg: 0.7136 0.9832 0.5000  1 Mg 2.87, 2 Ag 2.98, 1 Pd 3.05
Mg: 0.3333 0.6667 0.5000  3 Hg 2.87
Nd: 0.4097 0.0321 0.0000  2 Pd 3.00, 1 Ag 3.21, 2 Hg 3.32, 2 Mg 3.34
Nd: 0.9679 0.3777 0.0000  2 Pd 3.00, 1 Ag 3.21, 2 Hg 3.32, 2 Mg 3.34
Nd: 0.6223 0.5903 0.0000  2 Pd 3.00, 1 Ag 3.21, 2 Hg 3.32, 2 Mg 3.34
Pd: 0.6667 0.3333 0.5000  6 Nd 3.00, 3 Hg 3.05